1.
# Nd2SiSeO4

A relaxed structure of Nd2SiSeO4 (PBEsol, Alexandria).

Cell lengths 6.167, 7.141, 10.963 Å; angles 90.00, 90.00, 90.00 degrees
Space group Pbcm (No. 57)
Unique sites:
Nd (0.107, 0.250, 0.000) (multiplicity 4)
Nd (0.371, 0.534, 0.250) (multiplicity 4)
Si (0.388, 0.750, 0.000) (multiplicity 4)
Se (0.081, 0.609, 0.750) (multiplicity 4)
O (0.229, 0.573, 0.033) (multiplicity 8)
O (0.448, 0.235, 0.619) (multiplicity 8)

Results
ΔE_f (raw) ... -3.02 eV/atom


2.
# MgTa2Ag

A relaxed structure of MgTa2Ag (PBEsol, Alexandria).

Cell lengths 2.804, 2.804, 9.020 Å; angles 90.00, 90.00, 90.00 degrees
Space group P4mm (No. 99)
Unique sites:
Mg (0.000, 0.000, 0.000) (multiplicity 1)
Ta (0.000, 0.000, 0.519) (multiplicity 1)
Ta (0.500, 0.500, 0.270) (multiplicity 1)
Ag (0.500, 0.500, 0.763) (multiplicity 1)

Results
Energy of formation from the pure elements ... 124 meV per atom


| no. | DOS(E_F) (states/eV/cell) | VASP energy (eV/cell) |
| --- | --- | --- |
| 1 | 0.0 | -260.41 |
| 2 | 2.3 | -29.63 |